A geometry-optimized LiVP3O9 structure. Source: the Alexandria database, functional PBE+U.

The space group is Pnma (No. 62) and the conventional cell measures 9.439, 7.274 and 12.552 Å, with angles of 90.00, 90.00 and 90.00 degrees. The asymmetric unit holds Li at (0.054, 0.250, 0.016), V at (0.020, 0.750, 0.778), P at (0.207, 0.250, 0.452), P at (0.248, 0.545, 0.144), O at (0.103, 0.250, 0.364), O at (0.111, 0.058, 0.122), O at (0.136, 0.750, 0.928), O at (0.149, 0.531, 0.721), O at (0.174, 0.078, 0.530) and O at (0.202, 0.750, 0.180).

The calculation puts the density of states at the Fermi level at 0.00 states/eV/cell. The total energy is -7.1595 eV/atom. The calculation puts the volume at 15.389 Å³/atom. The theoretical density is 2272 kg/m³.